No. 1
This record from Alexandria via LeMat-Bulk describes a relaxed structure of CePaO4. The functional is PBE-GGA.

Computed properties:
As for the energy: -9.53 eV/atom. As for the density of states at the Fermi level: 1.04 states/eV/atom. The value obtained for the volume is 164.8 Å³/cell.

abc: 5.496 5.496 6.699
angles: 114.22 114.22 90.00
Each line ends with the local moment (μB).
Fractional coordinates of all 12 atoms:
Ce 0.000 0.000 0.000  0.70
Ce 0.750 0.250 0.500  0.70
Pa 0.250 0.750 0.500  0.33
Pa 0.500 0.500 0.000  0.33
O 0.139 0.125 0.750  -0.02
O 0.875 0.861 0.250  -0.02
O 0.139 0.625 0.750  -0.02
O 0.375 0.389 0.250  -0.02
O 0.611 0.125 0.750  -0.02
O 0.611 0.625 0.750  -0.02
O 0.375 0.861 0.250  -0.02
O 0.875 0.389 0.250  -0.02



No. 2
This record from Alexandria via LeMat-Bulk describes a relaxed structure of CePa2O6. The functional is PBE-GGA.

Computed properties:
As for the energy: -9.71 eV/atom. As for the density of states at the Fermi level: 1.00 states/eV/atom. The value obtained for the volume is 124.2 Å³/cell.

abc: 3.893 3.893 9.461
angles: 90.00 90.00 120.00
Each line ends with the local moment (μB).
Fractional coordinates of all 9 atoms:
Ce 0.000 0.000 0.000  0.79
Pa 0.333 0.667 0.668  0.60
Pa 0.667 0.333 0.332  0.60
O 0.000 0.000 0.265  -0.02
O 0.333 0.667 0.902  -0.02
O 0.667 0.333 0.581  -0.02
O 0.667 0.333 0.098  -0.02
O 0.000 0.000 0.735  -0.02
O 0.333 0.667 0.419  -0.02



What is the energy in the second record? -9.71 eV/atom



Which value of energy does entry 1 give? -9.53 eV/atom



What did the first record say?
This record from Alexandria via LeMat-Bulk describes a relaxed structure of CePaO4. The functional is PBE-GGA.

Computed properties:
As for the energy: -9.53 eV/atom. As for the density of states at the Fermi level: 1.04 states/eV/atom. The value obtained for the volume is 164.8 Å³/cell.

abc: 5.496 5.496 6.699
angles: 114.22 114.22 90.00
Each line ends with the local moment (μB).
Fractional coordinates of all 12 atoms:
Ce 0.000 0.000 0.000  0.70
Ce 0.750 0.250 0.500  0.70
Pa 0.250 0.750 0.500  0.33
Pa 0.500 0.500 0.000  0.33
O 0.139 0.125 0.750  -0.02
O 0.875 0.861 0.250  -0.02
O 0.139 0.625 0.750  -0.02
O 0.375 0.389 0.250  -0.02
O 0.611 0.125 0.750  -0.02
O 0.611 0.625 0.750  -0.02
O 0.375 0.861 0.250  -0.02
O 0.875 0.389 0.250  -0.02



What did the second record say?
This record from Alexandria via LeMat-Bulk describes a relaxed structure of CePa2O6. The functional is PBE-GGA.

Computed properties:
As for the energy: -9.71 eV/atom. As for the density of states at the Fermi level: 1.00 states/eV/atom. The value obtained for the volume is 124.2 Å³/cell.

abc: 3.893 3.893 9.461
angles: 90.00 90.00 120.00
Each line ends with the local moment (μB).
Fractional coordinates of all 9 atoms:
Ce 0.000 0.000 0.000  0.79
Pa 0.333 0.667 0.668  0.60
Pa 0.667 0.333 0.332  0.60
O 0.000 0.000 0.265  -0.02
O 0.333 0.667 0.902  -0.02
O 0.667 0.333 0.581  -0.02
O 0.667 0.333 0.098  -0.02
O 0.000 0.000 0.735  -0.02
O 0.333 0.667 0.419  -0.02